# Y3MgN GGA-PBE relaxed
# - Magnetization: 0.06 μB/atom
# - Polymorph energy (0 for the lowest one): 259 meV per atom
# - DOS at the Fermi energy: 4.20 states/eV/f.u.
# - Formation energy (no corrections): -0.464 eV/atom
data_Y3MgN
_chemical_formula_sum 'Y12 Mg4 N4'
_symmetry_space_group_name_H-M 'C 1 2/m 1'
_symmetry_Int_Tables_number 12
_symmetry_space_group_name_Hall '-C 2y'
_cell_length_a 16.3506
_cell_length_b 3.6848
_cell_length_c 8.7334
_cell_angle_alpha 90.00
_cell_angle_beta 91.49
_cell_angle_gamma 90.00
loop_
_atom_site_label
_atom_site_fract_x
_atom_site_fract_y
_atom_site_fract_z
Y1 0.0265 0.0000 0.1941
Y2 0.1647 0.5000 0.9606
Y3 0.2069 0.0000 0.3498
Mg1 0.0871 0.5000 0.5631
N1 0.1926 0.0000 0.1025



# Ni2OsAu GGA-PBE relaxed
# - Magnetization: 0.41 μB/atom
# - Polymorph energy (0 for the lowest one): 277 meV per atom
# - Calculated formation energy: 410 meV/atom
# - DOS at the Fermi energy: 5.77 states/eV/f.u.
data_Ni2OsAu
_chemical_formula_sum 'Ni4 Os2 Au2'
_symmetry_space_group_name_H-M 'I -4 m 2'
_symmetry_Int_Tables_number 119
_symmetry_space_group_name_Hall 'I -4 -2'
_cell_length_a 3.7258
_cell_length_b 3.7258
_cell_length_c 7.8136
_cell_angle_alpha 90.00
_cell_angle_beta 90.00
_cell_angle_gamma 90.00
loop_
_atom_site_label
_atom_site_fract_x
_atom_site_fract_y
_atom_site_fract_z
Ni1 0.0000 0.0000 0.0000
Ni2 0.0000 0.5000 0.2500
Os1 0.0000 0.5000 0.7500
Au1 0.0000 0.0000 0.5000



# PaSiPd6 GGA-PBE relaxed
# - Magnetization: 0.00 μB/atom
# - DOS at the Fermi energy: 4.38 states/eV/f.u.
# - Formation energy (no corrections): -0.397 eV/atom
data_PaSiPd6
_chemical_formula_sum 'Pa2 Si2 Pd12'
_symmetry_space_group_name_H-M 'C 1 2/m 1'
_symmetry_Int_Tables_number 12
_symmetry_space_group_name_Hall '-C 2y'
_cell_length_a 5.5284
_cell_length_b 9.2381
_cell_length_c 5.9508
_cell_angle_alpha 90.00
_cell_angle_beta 112.13
_cell_angle_gamma 90.00
loop_
_atom_site_label
_atom_site_fract_x
_atom_site_fract_y
_atom_site_fract_z
Pa1 0.0000 0.0000 0.0000
Si1 0.0000 0.0000 0.5000
Pd1 0.0185 0.5000 0.2536
Pd2 0.1385 0.2199 0.7483



# BaNiS3 GGA-PBE relaxed
# - Magnetization: 0.80 μB/atom
# - DOS at the Fermi energy: 10.00 states/eV/f.u.
# - Formation energy (no corrections): 1.009 eV/atom
data_BaNiS3
_chemical_formula_sum 'Ba1 Ni1 S3'
_symmetry_space_group_name_H-M 'P m -3 m'
_symmetry_Int_Tables_number 221
_symmetry_space_group_name_Hall '-P 4 2 3'
_cell_length_a 5.7656
_cell_length_b 5.7656
_cell_length_c 5.7656
_cell_angle_alpha 90.00
_cell_angle_beta 90.00
_cell_angle_gamma 90.00
loop_
_atom_site_label
_atom_site_fract_x
_atom_site_fract_y
_atom_site_fract_z
Ba1 0.0000 0.0000 0.0000
Ni1 0.5000 0.5000 0.5000
S1 0.0000 0.0000 0.5000



# Ac2PmY7 GGA-PBE relaxed
# - Magnetization: 0.00 μB/atom
# - Calculated formation energy: 200 meV/atom
# - DOS at the Fermi energy: 15.97 states/eV/f.u.
data_Ac2PmY7
_chemical_formula_sum 'Ac2 Pm1 Y7'
_symmetry_space_group_name_H-M 'P -1'
_symmetry_Int_Tables_number 2
_symmetry_space_group_name_Hall '-P 1'
_cell_length_a 5.8584
_cell_length_b 8.4415
_cell_length_c 8.4737
_cell_angle_alpha 112.68
_cell_angle_beta 101.32
_cell_angle_gamma 101.37
loop_
_atom_site_label
_atom_site_fract_x
_atom_site_fract_y
_atom_site_fract_z
Ac1 0.0821 0.2197 0.2227
Pm1 0.0000 0.5000 0.0000
Y1 0.0000 0.0000 0.5000
Y2 0.3306 0.7322 0.4767
Y3 0.3334 0.4770 0.7308
Y4 0.4994 0.1286 0.8702



# SrRe2Te GGA-PBE relaxed
# - Magnetization: 0.00 μB/atom
# - DOS at the Fermi energy: 3.19 states/eV/f.u.
# - Formation energy (no corrections): 0.387 eV/atom
data_SrRe2Te
_chemical_formula_sum 'Sr1 Re2 Te1'
_symmetry_space_group_name_H-M 'P 4 m m'
_symmetry_Int_Tables_number 99
_symmetry_space_group_name_Hall 'P 4 -2'
_cell_length_a 3.2108
_cell_length_b 3.2108
_cell_length_c 8.4926
_cell_angle_alpha 90.00
_cell_angle_beta 90.00
_cell_angle_gamma 90.00
loop_
_atom_site_label
_atom_site_fract_x
_atom_site_fract_y
_atom_site_fract_z
Sr1 0.0000 0.0000 0.0000
Re1 0.0000 0.0000 0.5705
Re2 0.5000 0.5000 0.7229
Te1 0.5000 0.5000 0.3228



# Li4GaAg5 GGA-PBE relaxed
# - Magnetization: 0.00 μB/atom
# - Polymorph energy (0 for the lowest one): 0 meV per atom
# - Calculated formation energy: -180 meV/atom
# - DOS at the Fermi energy: 2.87 states/eV/f.u.
data_Li4GaAg5
_chemical_formula_sum 'Li4 Ga1 Ag5'
_symmetry_space_group_name_H-M 'P 4/m m m'
_symmetry_Int_Tables_number 123
_symmetry_space_group_name_Hall '-P 4 2'
_cell_length_a 3.2168
_cell_length_b 3.2168
_cell_length_c 15.6455
_cell_angle_alpha 90.00
_cell_angle_beta 90.00
_cell_angle_gamma 90.00
loop_
_atom_site_label
_atom_site_fract_x
_atom_site_fract_y
_atom_site_fract_z
Li1 0.0000 0.0000 0.0986
Li2 0.0000 0.0000 0.2960
Ga1 0.0000 0.0000 0.5000
Ag1 0.5000 0.5000 0.0000
Ag2 0.5000 0.5000 0.1976
Ag3 0.5000 0.5000 0.3937



# KOs GGA-PBE relaxed
# - Magnetization: 0.00 μB/atom
# - Polymorph energy (0 for the lowest one): 409 meV per atom
# - Calculated formation energy: 1107 meV/atom
# - DOS at the Fermi energy: 1.34 states/eV/f.u.
data_KOs
_chemical_formula_sum 'K4 Os4'
_symmetry_space_group_name_H-M 'I m m a'
_symmetry_Int_Tables_number 74
_symmetry_space_group_name_Hall '-I 2b 2'
_cell_length_a 4.0562
_cell_length_b 5.7740
_cell_length_c 9.9115
_cell_angle_alpha 90.00
_cell_angle_beta 90.00
_cell_angle_gamma 90.00
loop_
_atom_site_label
_atom_site_fract_x
_atom_site_fract_y
_atom_site_fract_z
K1 0.0000 0.2500 0.1013
Os1 0.0000 0.2500 0.6934



What did the eighth record say?
# KOs GGA-PBE relaxed
# - Magnetization: 0.00 μB/atom
# - Polymorph energy (0 for the lowest one): 409 meV per atom
# - Calculated formation energy: 1107 meV/atom
# - DOS at the Fermi energy: 1.34 states/eV/f.u.
data_KOs
_chemical_formula_sum 'K4 Os4'
_symmetry_space_group_name_H-M 'I m m a'
_symmetry_Int_Tables_number 74
_symmetry_space_group_name_Hall '-I 2b 2'
_cell_length_a 4.0562
_cell_length_b 5.7740
_cell_length_c 9.9115
_cell_angle_alpha 90.00
_cell_angle_beta 90.00
_cell_angle_gamma 90.00
loop_
_atom_site_label
_atom_site_fract_x
_atom_site_fract_y
_atom_site_fract_z
K1 0.0000 0.2500 0.1013
Os1 0.0000 0.2500 0.6934



Question: Which formula does entry 4 have?
Answer: BaNiS3



Please write out number 5 again, unchanged.
# Ac2PmY7 GGA-PBE relaxed
# - Magnetization: 0.00 μB/atom
# - Calculated formation energy: 200 meV/atom
# - DOS at the Fermi energy: 15.97 states/eV/f.u.
data_Ac2PmY7
_chemical_formula_sum 'Ac2 Pm1 Y7'
_symmetry_space_group_name_H-M 'P -1'
_symmetry_Int_Tables_number 2
_symmetry_space_group_name_Hall '-P 1'
_cell_length_a 5.8584
_cell_length_b 8.4415
_cell_length_c 8.4737
_cell_angle_alpha 112.68
_cell_angle_beta 101.32
_cell_angle_gamma 101.37
loop_
_atom_site_label
_atom_site_fract_x
_atom_site_fract_y
_atom_site_fract_z
Ac1 0.0821 0.2197 0.2227
Pm1 0.0000 0.5000 0.0000
Y1 0.0000 0.0000 0.5000
Y2 0.3306 0.7322 0.4767
Y3 0.3334 0.4770 0.7308
Y4 0.4994 0.1286 0.8702